{
  "formula": "Sm8Tm4Th",
  "functional": "GGA-PBE",
  "state": "optimized geometry",
  "cell": [[-4.445, -0.489, -5.792], [3.290, -5.995, 2.603], [-5.399, 0.813, 8.697]],
  "species": ["Sm", "Sm", "Sm", "Sm", "Sm", "Sm", "Sm", "Sm", "Th", "Tm", "Tm", "Tm", "Tm"],
  "fractional_positions": [[0.046, 0.247, 0.293], [0.046, 0.799, 0.293], [0.431, 0.215, 0.646], [0.954, 0.201, 0.707], [0.506, 0.753, 0.707], [0.569, 0.785, 0.354], [0.954, 0.753, 0.707], [0.494, 0.247, 0.293], [0.000, 0.500, 0.500], [0.000, 0.000, 0.000], [0.500, 0.500, 0.000], [0.000, 0.500, 0.000], [0.500, 0.000, 0.000]],
  "space_group": "R-3m (166)",
  "e_tot_ev_per_atom": -4.615,
  "e_form_ev_per_atom": 0.24
}

=====

{
  "formula": "La2TbPr",
  "functional": "GGA-PBE",
  "state": "optimized geometry",
  "cell": [[3.704, 0.000, 0.000], [1.852, 3.208, 0.000], [1.852, 1.069, 11.985]],
  "species": ["La", "La", "Pr", "Tb"],
  "fractional_positions": [[0.085, 0.085, 0.745], [0.247, 0.247, 0.258], [0.668, 0.668, 0.996], [0.500, 0.500, 0.501]],
  "space_group": "R3m (160)",
  "e_tot_ev_per_atom": -4.799,
  "e_form_ev_per_atom": 0.02
}

=====

{
  "formula": "Rb4LiPu3Se8",
  "functional": "GGA-PBE",
  "state": "optimized geometry",
  "cell": [[-7.116, -4.324, -1.997], [3.774, -2.435, -8.177], [4.360, -1.995, 7.140]],
  "species": ["Se", "Se", "Se", "Se", "Se", "Se", "Se", "Se", "Pu", "Pu", "Pu", "Rb", "Rb", "Rb", "Rb", "Li"],
  "fractional_positions": [[0.235, 0.690, 0.956], [0.268, 0.304, 0.535], [0.764, 0.312, 0.529], [0.732, 0.696, 0.465], [0.765, 0.310, 0.044], [0.721, 0.690, 0.956], [0.279, 0.310, 0.044], [0.236, 0.688, 0.471], [0.500, 0.500, 0.500], [0.000, 0.500, 0.500], [0.500, 0.500, 0.000], [0.500, 0.000, 0.500], [0.000, 0.000, 0.000], [0.000, 0.000, 0.500], [0.500, 0.000, 0.000], [0.000, 0.500, 0.000]],
  "raw_formation_energy_ev_per_fu": -20.7,
  "space_group": "C2/m (12)",
  "e_tot_ev_per_atom": -6.085
}

=====

{
  "formula": "NaAgPd",
  "functional": "GGA-PBE",
  "state": "optimized geometry",
  "cell": [[4.926, -0.318, -0.402], [2.180, 3.778, 0.060], [-0.709, 0.320, 5.782]],
  "species": ["Na", "Na", "Ag", "Ag", "Pd", "Pd"],
  "fractional_positions": [[0.344, 0.828, 0.589], [0.656, 0.172, 0.411], [0.974, 0.513, 0.231], [0.026, 0.487, 0.769], [0.679, 0.160, 0.929], [0.321, 0.840, 0.071]],
  "space_group": "C2/m (12)",
  "e_tot_ev_per_atom": -3.174,
  "e_form_ev_per_atom": -0.05
}

=====

{
  "formula": "Be2TlNiTe",
  "functional": "GGA-PBE",
  "state": "optimized geometry",
  "cell": [[-0.342, -2.080, 4.007], [-4.898, -3.441, -2.204], [2.880, -3.195, -1.413]],
  "species": ["Ni", "Be", "Be", "Te", "Tl"],
  "fractional_positions": [[0.500, 0.500, 0.500], [0.000, 0.000, 0.500], [0.500, 0.000, 0.000], [0.000, 0.000, 0.000], [0.000, 0.500, 0.000]],
  "raw_formation_energy_ev_per_fu": 6.9,
  "space_group": "P4/mmm (123)",
  "e_tot_ev_per_atom": -2.359
}

=====

{
  "formula": "RbMnIr3",
  "functional": "GGA-PBE",
  "state": "optimized geometry",
  "cell": [[-1.956, 0.732, 4.359], [2.583, -3.678, 1.777], [3.586, 3.049, 1.097]],
  "species": ["Ir", "Ir", "Ir", "Rb", "Mn"],
  "fractional_positions": [[0.500, 0.000, 0.000], [0.000, 0.500, 0.000], [0.000, 0.000, 0.500], [0.000, 0.000, 0.000], [0.500, 0.500, 0.500]],
  "space_group": "Pm-3m (221)",
  "e_tot_ev_per_atom": -4.164,
  "e_form_ev_per_atom": 3.18
}

=====

{
  "formula": "MnTl2Ni",
  "functional": "GGA-PBE",
  "state": "optimized geometry",
  "cell": [[8.455, -0.030, -0.018], [7.810, 3.240, -0.018], [7.810, 1.541, 2.850]],
  "species": ["Tl", "Tl", "Ni", "Mn"],
  "fractional_positions": [[0.007, 0.007, 0.007], [0.493, 0.493, 0.493], [0.750, 0.750, 0.750], [0.250, 0.250, 0.250]],
  "space_group": "R-3m (166)",
  "e_tot_ev_per_atom": -4.429,
  "e_form_ev_per_atom": 0.49
}

=====

{
  "formula": "Sr2Sc2Ta",
  "functional": "GGA-PBE",
  "state": "optimized geometry",
  "cell": [[7.368, 0.000, 0.000], [0.000, 7.368, 0.000], [0.000, 0.000, 5.978]],
  "species": ["Sc", "Sc", "Sc", "Sc", "Ta", "Ta", "Sr", "Sr", "Sr", "Sr"],
  "fractional_positions": [[0.832, 0.668, 0.000], [0.168, 0.332, 0.000], [0.332, 0.832, 0.000], [0.668, 0.168, 0.000], [0.000, 0.000, 0.000], [0.500, 0.500, 0.000], [0.678, 0.822, 0.500], [0.178, 0.678, 0.500], [0.822, 0.322, 0.500], [0.322, 0.178, 0.500]],
  "space_group": "P4/mbm (127)",
  "e_tot_ev_per_atom": -4.880,
  "e_form_ev_per_atom": 0.70
}

=====

{
  "formula": "Rb3Bi4",
  "functional": "GGA-PBE",
  "state": "optimized geometry",
  "cell": [[-0.568, -4.181, -3.135], [3.461, -2.980, 3.348], [-10.411, 0.144, 6.102]],
  "species": ["Rb", "Rb", "Rb", "Bi", "Bi", "Bi", "Bi"],
  "fractional_positions": [[0.500, 0.000, 0.000], [0.186, 0.186, 0.372], [0.814, 0.814, 0.628], [0.361, 0.361, 0.722], [0.931, 0.431, 0.861], [0.069, 0.569, 0.139], [0.639, 0.639, 0.278]],
  "space_group": "Immm (71)",
  "e_tot_ev_per_atom": -2.921,
  "e_form_ev_per_atom": -0.29
}

=====

{
  "formula": "K3VCr",
  "functional": "GGA-PBE",
  "state": "optimized geometry",
  "cell": [[-1.064, 0.705, -6.419], [1.768, -6.225, -0.977], [-6.211, -1.893, 0.822]],
  "species": ["K", "K", "K", "Cr", "V"],
  "fractional_positions": [[0.000, 0.000, 0.500], [0.500, 0.000, 0.000], [0.000, 0.500, 0.000], [0.000, 0.000, 0.000], [0.500, 0.500, 0.500]],
  "space_group": "Pm-3m (221)",
  "e_tot_ev_per_atom": -2.997,
  "e_form_ev_per_atom": 1.41
}

=====

{
  "formula": "LaTb4Er",
  "functional": "GGA-PBE",
  "state": "optimized geometry",
  "cell": [[-4.013, -4.166, -3.231], [2.324, -5.802, -2.198], [-1.927, -5.646, 2.881]],
  "species": ["Tb", "Tb", "Tb", "Tb", "Er", "La"],
  "fractional_positions": [[0.123, 0.626, 0.626], [0.626, 0.123, 0.626], [0.626, 0.626, 0.123], [0.626, 0.626, 0.626], [0.000, 0.000, 0.000], [0.250, 0.250, 0.250]],
  "space_group": "F-43m (216)",
  "e_tot_ev_per_atom": -4.404,
  "e_form_ev_per_atom": 0.26
}

=====

{
  "formula": "LaZn9Pd3",
  "functional": "GGA-PBE",
  "state": "optimized geometry",
  "cell": [[4.939, 0.075, 2.005], [2.459, 6.339, 0.998], [0.047, 0.038, 6.971]],
  "species": ["Zn", "Zn", "Zn", "Zn", "Zn", "Zn", "Zn", "Zn", "Zn", "Pd", "Pd", "Pd", "La"],
  "fractional_positions": [[0.993, 0.348, 0.645], [0.000, 0.500, 0.000], [0.504, 0.780, 0.223], [0.726, 0.780, 0.777], [0.496, 0.220, 0.777], [0.637, 0.348, 0.355], [0.363, 0.652, 0.645], [0.274, 0.220, 0.223], [0.007, 0.652, 0.355], [0.500, 0.000, 0.500], [0.500, 0.500, 0.000], [0.000, 0.000, 0.500], [0.000, 0.000, 0.000]],
  "space_group": "C2/m (12)",
  "e_tot_ev_per_atom": -2.844,
  "e_form_ev_per_atom": -0.38
}

=====

{
  "formula": "Cr4CoRh7",
  "functional": "GGA-PBE",
  "state": "optimized geometry",
  "cell": [[4.578, 0.864, 0.409], [3.362, 8.333, 1.241], [-0.615, 0.912, 4.658]],
  "species": ["Rh", "Rh", "Rh", "Rh", "Rh", "Rh", "Rh", "Cr", "Cr", "Cr", "Cr", "Co"],
  "fractional_positions": [[0.128, 0.540, 0.726], [0.132, 0.669, 0.162], [0.865, 0.900, 0.551], [0.868, 0.331, 0.838], [0.872, 0.460, 0.274], [0.500, 0.000, 0.000], [0.135, 0.100, 0.449], [0.497, 0.252, 0.598], [0.505, 0.747, 0.850], [0.495, 0.253, 0.150], [0.503, 0.748, 0.402], [0.000, 0.000, 0.000]],
  "space_group": "P-1 (2)",
  "e_tot_ev_per_atom": -8.023,
  "e_form_ev_per_atom": 0.06
}

=====

{
  "formula": "NdHfPd2",
  "functional": "GGA-PBE",
  "state": "optimized geometry",
  "cell": [[3.345, 0.000, 0.000], [0.000, 3.345, 0.000], [0.000, 0.000, 7.506]],
  "species": ["Nd", "Pd", "Pd", "Hf"],
  "fractional_positions": [[0.500, 0.500, 0.500], [0.000, 0.000, 0.201], [0.000, 0.000, 0.799], [0.500, 0.500, 0.000]],
  "space_group": "P4/mmm (123)",
  "e_tot_ev_per_atom": -6.969,
  "e_form_ev_per_atom": -0.69
}

=====

{
  "formula": "NdTmPtRh",
  "functional": "GGA-PBE",
  "state": "optimized geometry",
  "cell": [[-0.650, -2.090, -3.131], [-2.018, -3.055, 2.458], [-4.311, 3.542, 0.862]],
  "species": ["Nd", "Tm", "Rh", "Pt"],
  "fractional_positions": [[0.145, 0.000, 0.290], [0.863, 0.500, 0.727], [0.409, 0.000, 0.818], [0.582, 0.500, 0.165]],
  "space_group": "Amm2 (38)",
  "e_tot_ev_per_atom": -6.656,
  "e_form_ev_per_atom": -1.00
}

=====

{
  "formula": "LiAl",
  "functional": "GGA-PBE",
  "state": "optimized geometry",
  "cell": [[-0.037, -1.507, 5.277], [3.868, -2.770, 2.349], [1.608, 1.918, 1.317]],
  "species": ["Li", "Li", "Al", "Al"],
  "fractional_positions": [[0.498, 0.509, 0.496], [0.418, 0.074, 0.254], [0.921, 0.581, 0.749], [0.996, 0.003, 0.001]],
  "space_group": "C2/m (12)",
  "e_tot_ev_per_atom": -2.944,
  "e_form_ev_per_atom": -0.12
}

=====

{
  "formula": "SbTeW",
  "functional": "GGA-PBE",
  "state": "optimized geometry",
  "cell": [[-4.525, -0.847, -5.708], [-3.791, -4.999, -3.797], [2.339, 3.244, 6.147]],
  "species": ["Te", "Sb", "W"],
  "fractional_positions": [[0.288, 0.288, 0.000], [0.041, 0.041, 0.000], [0.672, 0.672, 0.000]],
  "raw_formation_energy_ev_per_fu": 0.9,
  "space_group": "I4mm (107)",
  "e_tot_ev_per_atom": -6.439
}

=====

{
  "formula": "Cs3Er2Te6Pb",
  "functional": "GGA-PBE",
  "state": "optimized geometry",
  "cell": [[-2.576, 1.525, -7.345], [1.111, -7.495, 2.348], [-7.995, 1.643, 4.570]],
  "species": ["Cs", "Cs", "Cs", "Er", "Er", "Te", "Te", "Te", "Te", "Te", "Te", "Pb"],
  "fractional_positions": [[0.839, 0.161, 0.500], [0.161, 0.839, 0.500], [0.500, 0.500, 0.500], [0.667, 0.333, 0.000], [0.333, 0.667, 0.000], [0.935, 0.585, 0.808], [0.065, 0.415, 0.192], [0.585, 0.935, 0.808], [0.288, 0.288, 0.811], [0.415, 0.065, 0.192], [0.712, 0.712, 0.189], [0.000, 0.000, 0.000]],
  "raw_formation_energy_ev_per_fu": -13.0,
  "space_group": "C2/m (12)",
  "e_tot_ev_per_atom": -3.938
}

=====

{
  "formula": "TbZnGa4",
  "functional": "GGA-PBE",
  "state": "optimized geometry",
  "cell": [[-2.577, 0.361, -4.836], [-3.744, -3.765, -1.404], [-5.320, 1.353, -0.183]],
  "species": ["Ga", "Ga", "Ga", "Ga", "Zn", "Tb"],
  "fractional_positions": [[0.125, 0.625, 0.625], [0.625, 0.625, 0.125], [0.625, 0.625, 0.625], [0.625, 0.125, 0.625], [0.000, 0.000, 0.000], [0.250, 0.250, 0.250]],
  "space_group": "F-43m (216)",
  "e_tot_ev_per_atom": -3.187,
  "e_form_ev_per_atom": -0.18
}

=====

{
  "formula": "Ce2PrIn9",
  "functional": "GGA-PBE",
  "state": "optimized geometry",
  "cell": [[4.718, 0.000, 0.000], [0.000, 4.718, 0.000], [0.000, 0.000, 14.157]],
  "species": ["In", "In", "In", "In", "In", "In", "In", "In", "In", "Pr", "Ce", "Ce"],
  "fractional_positions": [[0.500, 0.500, 0.334], [0.500, 0.000, 0.500], [0.500, 0.500, 0.666], [0.000, 0.500, 0.169], [0.000, 0.500, 0.500], [0.000, 0.500, 0.831], [0.500, 0.000, 0.169], [0.500, 0.000, 0.831], [0.500, 0.500, 0.000], [0.000, 0.000, 0.000], [0.000, 0.000, 0.666], [0.000, 0.000, 0.334]],
  "space_group": "P4/mmm (123)",
  "e_tot_ev_per_atom": -3.875,
  "e_form_ev_per_atom": -0.43
}

=====

{
  "formula": "LiDySn",
  "functional": "GGA-PBE",
  "state": "optimized geometry",
  "cell": [[4.777, -0.003, -0.017], [2.385, 4.139, -0.017], [2.352, 1.362, 8.681]],
  "species": ["Li", "Li", "Sn", "Sn", "Dy", "Dy"],
  "fractional_positions": [[0.703, 0.991, 0.009], [0.218, 0.505, 0.472], [0.345, 0.633, 0.083], [0.575, 0.863, 0.400], [0.960, 0.248, 0.241], [0.460, 0.748, 0.741]],
  "space_group": "C2/m (12)",
  "e_tot_ev_per_atom": -3.695,
  "e_form_ev_per_atom": -0.19
}

=====

{
  "formula": "Li2NdY2Mg5",
  "functional": "GGA-PBE",
  "state": "optimized geometry",
  "cell": [[4.434, 0.000, 0.000], [0.000, 10.658, 0.000], [0.000, 0.000, 10.658]],
  "species": ["Nd", "Nd", "Mg", "Mg", "Mg", "Mg", "Mg", "Mg", "Mg", "Mg", "Mg", "Mg", "Y", "Y", "Y", "Y", "Li", "Li", "Li", "Li"],
  "fractional_positions": [[0.000, 0.000, 0.000], [0.000, 0.500, 0.500], [0.500, 0.063, 0.783], [0.500, 0.500, 0.000], [0.500, 0.283, 0.563], [0.500, 0.783, 0.937], [0.500, 0.437, 0.283], [0.500, 0.563, 0.717], [0.500, 0.217, 0.063], [0.500, 0.937, 0.217], [0.500, 0.000, 0.500], [0.500, 0.717, 0.437], [0.000, 0.680, 0.180], [0.000, 0.820, 0.680], [0.000, 0.180, 0.320], [0.000, 0.320, 0.820], [0.000, 0.386, 0.114], [0.000, 0.614, 0.886], [0.000, 0.886, 0.386], [0.000, 0.114, 0.614]],
  "space_group": "P4/mbm (127)",
  "e_tot_ev_per_atom": -2.984,
  "e_form_ev_per_atom": -0.03
}

=====

{
  "formula": "DyThGePt",
  "functional": "GGA-PBE",
  "state": "optimized geometry",
  "cell": [[4.447, 0.000, 0.000], [0.000, 4.447, 0.000], [0.000, 0.000, 10.725]],
  "species": ["Ge", "Ge", "Dy", "Dy", "Th", "Th", "Pt", "Pt"],
  "fractional_positions": [[0.000, 0.500, 0.109], [0.500, 0.000, 0.891], [0.500, 0.500, 0.500], [0.000, 0.000, 0.500], [0.000, 0.500, 0.842], [0.500, 0.000, 0.158], [0.500, 0.000, 0.663], [0.000, 0.500, 0.337]],
  "space_group": "P4/nmm (129)",
  "e_tot_ev_per_atom": -6.337,
  "e_form_ev_per_atom": -0.67
}

=====

{
  "formula": "ThScHg2",
  "functional": "GGA-PBE",
  "state": "optimized geometry",
  "cell": [[3.542, 0.000, 0.000], [1.771, 3.067, 0.000], [1.771, 1.022, 9.568]],
  "species": ["Sc", "Th", "Hg", "Hg"],
  "fractional_positions": [[0.667, 0.667, 0.999], [0.500, 0.500, 0.500], [0.075, 0.075, 0.775], [0.258, 0.258, 0.225]],
  "space_group": "R3m (160)",
  "e_tot_ev_per_atom": -3.806,
  "e_form_ev_per_atom": -0.22
}